Version i
Compound: NbF2
Source: OQMD
Functional: PBE-GGA
Structure: relaxed

a b c (Å): 6.3466 6.3466 6.3466
angles (deg): 90.00 90.00 90.00
Closest atoms and distances in Å follow each position.
Space group Fd-3m (No. 227, origin choice 2)
Symmetry-distinct sites (fractional):
Nb 0.1250 0.1250 0.1250 x8  12 F 2.63, 4 Nb 2.75
F 0.0000 0.0000 0.5000 x16  6 F 2.24

Results
V: 256 Å³/cell
Size of the total moment: 0.00 μB/f.u.

=====

Version ii
Compound: NbF2
Source: OQMD
Functional: PBE-GGA
Structure: relaxed

a b c (Å): 9.5197 9.5197 9.5197
angles (deg): 90.00 90.00 90.00
Closest atoms and distances in Å follow each position.
Space group Fd-3m (No. 227, origin choice 2)
Symmetry-distinct sites (fractional):
Nb 0.1250 0.1250 0.1250 x8  4 F 2.06
F 0.0000 0.0000 0.0000 x16  2 Nb 2.06

Results
V: 863 Å³/cell
Size of the total moment: 2.91 μB/f.u.

=====

Most stable one: version ii, least stable one: version i.

=====

Version i
Compound: NbF2
Source: OQMD
Functional: PBE-GGA
Structure: relaxed

a b c (Å): 4.9154 4.9154 3.6297
angles (deg): 90.00 90.00 90.00
Closest atoms and distances in Å follow each position.
Space group P4_2/mnm (No. 136)
Symmetry-distinct sites (fractional):
Nb 0.0000 0.0000 0.0000 x2  6 F 2.20-2.22
F 0.1839 0.1839 0.5000 x4  3 Nb 2.20-2.22

Results
V: 88 Å³/cell
Size of the total moment: 3.00 μB/f.u.

=====

Version ii
Compound: NbF2
Source: OQMD
Functional: PBE-GGA
Structure: relaxed

a b c (Å): 5.2146 5.2146 5.2146
angles (deg): 90.00 90.00 90.00
Closest atoms and distances in Å follow each position.
Space group Fm-3m (No. 225)
Symmetry-distinct sites (fractional):
Nb 0.0000 0.0000 0.0000 x4  8 F 2.26
F 0.2500 0.2500 0.2500 x8  4 Nb 2.26

Results
V: 142 Å³/cell
Size of the total moment: 1.03 μB/f.u.

=====

Most stable one: version i, least stable one: version ii.

=====

Version i
Compound: NbTlF6
Source: OQMD
Functional: PBE-GGA
Structure: relaxed

a b c (Å): 7.3040 7.3040 7.3159
angles (deg): 90.00 90.00 120.00
Closest atoms and distances in Å follow each position.
Space group R-3 (No. 148, hexagonal axes)
Symmetry-distinct sites (fractional):
Nb 0.0000 0.0000 0.0000 x3  6 F 1.93
Tl 0.0000 0.0000 0.5000 x3  12 F 2.78-2.96
F 0.0525 0.8181 0.1564 x18  1 Nb 1.93

Results
V: 338 Å³/cell
Size of the total moment: 0.00 μB/f.u.

=====

Version ii
Compound: NbTlF6
Source: OQMD
Functional: PBE-GGA
Structure: relaxed

a b c (Å): 9.7382 4.8357 9.7857
angles (deg): 90.00 100.87 90.00
Closest atoms and distances in Å follow each position.
Space group C2/c (No. 15)
Symmetry-distinct sites (fractional):
Nb 0.2500 0.2500 0.0000 x4  6 F 1.93
Tl 0.0000 0.1386 0.2500 x4  12 F 2.69-2.97
F 0.0773 0.3947 0.8945 x8  1 Nb 1.93
F 0.1470 0.0716 0.5402 x8  1 Nb 1.93
F 0.2145 0.4263 0.1673 x8  1 Nb 1.93

Results
V: 453 Å³/cell
Size of the total moment: 0.00 μB/f.u.

=====

Version iii
Compound: NbTlF6
Source: OQMD
Functional: PBE-GGA
Structure: relaxed

a b c (Å): 9.0371 9.0371 9.0371
angles (deg): 90.00 90.00 90.00
Closest atoms and distances in Å follow each position.
Space group Fm-3m (No. 225)
Symmetry-distinct sites (fractional):
Nb 0.0000 0.0000 0.0000 x4  6 F 1.92
Tl 0.0000 0.0000 0.5000 x4  6 F 2.59
F 0.0000 0.0000 0.2129 x24  1 Nb 1.92

Results
V: 738 Å³/cell
Size of the total moment: 0.00 μB/f.u.

=====

Most stable one: version iii, least stable one: version ii.

=====

Version i
Compound: OsO2F3
Source: OQMD
Functional: PBE-GGA
Structure: relaxed

a b c (Å): 5.1007 9.4696 11.7032
angles (deg): 90.00 98.16 90.00
Closest atoms and distances in Å follow each position.
Space group P2_1/c (No. 14)
Symmetry-distinct sites (fractional):
Os 0.0296 0.2494 0.4956 x4  1 O 1.68
Os 0.3568 0.5091 0.7254 x4  3 O 1.70-1.71, 1 F 1.90
O 0.2935 0.1669 0.9572 x4  1 Os 1.68
O 0.4071 0.0752 0.3552 x4  1 Os 1.70
O 0.4286 0.5746 0.3520 x4  1 Os 1.71
O 0.4947 0.1691 0.7476 x4  1 Os 1.70
F 0.0078 0.5725 0.7369 x4  1 Os 1.90
F 0.0969 0.6609 0.1461 x4  1 Os 1.89
F 0.1036 0.1669 0.1560 x4  2 Os 2.02-2.19
F 0.1980 0.0811 0.5511 x4  1 Os 1.88
F 0.2005 0.5820 0.5525 x4  2 Os 2.01-2.18
F 0.2786 0.6874 0.9488 x4  1 Os 1.88

Results
V: 560 Å³/cell
Size of the total moment: 0.00 μB/f.u.

=====

Version ii
Compound: OsO2F3
Source: OQMD
Functional: PBE-GGA
Structure: relaxed

a b c (Å): 5.1667 4.8072 11.6185
angles (deg): 90.00 98.73 90.00
Closest atoms and distances in Å follow each position.
Space group Pc (No. 7)
Symmetry-distinct sites (fractional):
Os 0.0000 0.0098 0.0000 x2  1 O 1.68
Os 0.3878 0.4702 0.7248 x2  3 O 1.70-1.71, 1 F 1.90
O 0.4432 0.3567 0.3541 x2  1 Os 1.70
O 0.5288 0.1533 0.7559 x2  1 Os 1.70
O 0.6010 0.3756 0.1452 x2  1 Os 1.71
O 0.7505 0.1265 0.5579 x2  1 Os 1.68
F 0.0432 0.3487 0.7383 x2  1 Os 1.90
F 0.1347 0.1936 0.1543 x2  2 Os 2.02-2.16
F 0.2257 0.3233 0.5497 x2  2 Os 2.01-2.20
F 0.3203 0.1443 0.9634 x2  1 Os 1.88
F 0.8416 0.3451 0.9418 x2  1 Os 1.89
F 0.9328 0.1434 0.3495 x2  1 Os 1.88

Results
V: 285 Å³/cell
Size of the total moment: 0.00 μB/f.u.

=====

Most stable one: version ii, least stable one: version i.

=====

Version i
Compound: Pd2OF2
Source: OQMD
Functional: PBE-GGA
Structure: relaxed

a b c (Å): 4.8846 5.0520 5.9214
angles (deg): 69.83 70.10 87.20
Closest atoms and distances in Å follow each position.
Space group P1 (No. 1)
Symmetry-distinct sites (fractional):
Pd 0.0000 0.0000 0.0000 x1  2 O 1.98-2.00, 2 F 1.99-2.09
Pd 0.1982 0.5670 0.6165 x1  2 O 1.99-2.04, 2 F 2.05-2.10
Pd 0.4395 0.3527 0.9982 x1  1 O 1.97, 1 F 2.02
Pd 0.6934 0.0471 0.6309 x1  2 O 1.99-2.02, 2 F 2.03-2.07
O 0.8283 0.3013 0.7785 x1  4 Pd 1.97-2.04
O 0.9165 0.7703 0.8168 x1  3 Pd 1.98-1.99
F 0.0118 0.2557 0.2092 x1  2 Pd 2.02-2.09
F 0.2268 0.7272 0.1834 x1  1 Pd 1.99
F 0.4476 0.3035 0.4311 x1  2 Pd 2.07-2.10
F 0.5981 0.7878 0.4678 x1  2 Pd 2.03-2.05

Results
V: 129 Å³/cell

=====

Version ii
Compound: Pd2OF2
Source: OQMD
Functional: PBE-GGA
Structure: relaxed

a b c (Å): 6.9469 6.9469 4.9804
angles (deg): 90.00 90.00 90.00
Closest atoms and distances in Å follow each position.
Space group P4_2/nmc (No. 137, origin choice 2)
Symmetry-distinct sites (fractional):
Pd 0.0007 0.7500 0.0958 x8  1 O 2.02, 2 F 2.19
O 0.2500 0.2500 0.1081 x4  2 Pd 2.02
F 0.0674 0.5674 0.7500 x8  4 Pd 2.19-2.38

Results
V: 240 Å³/cell

=====

Version iii
Compound: Pd2OF2
Source: OQMD
Functional: PBE-GGA
Structure: relaxed

a b c (Å): 5.5693 8.5028 5.1597
angles (deg): 90.00 90.00 90.00
Closest atoms and distances in Å follow each position.
Space group Ibam (No. 72)
Symmetry-distinct sites (fractional):
Pd 0.2372 0.0807 0.0000 x8  2 O 2.07, 3 F 2.16-2.30
O 0.0000 0.5000 0.2500 x4  4 Pd 2.07
F 0.1315 0.1808 0.5000 x8  3 Pd 2.16-2.30

Results
V: 244 Å³/cell

=====

Most stable one: version i, least stable one: version ii.

=====

Version i
Compound: Pd2OF2
Source: OQMD
Functional: PBE-GGA
Structure: relaxed

a b c (Å): 8.0987 6.8595 4.3779
angles (deg): 90.00 105.28 90.00
Closest atoms and distances in Å follow each position.
Space group C2/m (No. 12)
Symmetry-distinct sites (fractional):
Pd 0.0000 0.2310 0.0000 x4  2 F 1.99, 2 O 2.02
Pd 0.1450 0.5000 0.4306 x4  1 O 2.01
O 0.1353 0.0000 0.2228 x4  3 Pd 2.01-2.02
F 0.1537 0.2176 0.7133 x8  1 Pd 1.99

Results
V: 235 Å³/cell

=====

Version ii
Compound: Pd2OF2
Source: OQMD
Functional: PBE-GGA
Structure: relaxed

a b c (Å): 6.0117 6.0117 10.0812
angles (deg): 90.00 90.00 90.00
Closest atoms and distances in Å follow each position.
Space group I4_1/amd (No. 141, origin choice 2)
Symmetry-distinct sites (fractional):
Pd 0.0000 0.0000 0.0000 x8  2 O 1.96, 2 F 2.07
O 0.0000 0.2500 0.8750 x4  4 Pd 1.96
F 0.0000 0.2500 0.1413 x8  2 Pd 2.07

Results
V: 364 Å³/cell

=====

Version iii
Compound: Pd2OF2
Source: OQMD
Functional: PBE-GGA
Structure: relaxed

a b c (Å): 7.2852 9.6041 9.9488
angles (deg): 90.00 90.00 90.00
Closest atoms and distances in Å follow each position.
Space group Fddd (No. 70, origin choice 2)
Symmetry-distinct sites (fractional):
Pd 0.0000 0.0000 0.0000 x16  2 O 1.95, 2 F 2.08
O 0.1250 0.1250 0.1250 x8  4 Pd 1.95
F 0.1250 0.1250 0.3947 x16  2 Pd 2.08

Results
V: 696 Å³/cell

=====

Most stable one: version ii, least stable one: version i.

=====

Version i
Compound: PdOF2
Source: OQMD
Functional: PBE-GGA
Structure: relaxed

a b c (Å): 4.9006 7.2001 4.9255
angles (deg): 90.00 90.00 90.00
Closest atoms and distances in Å follow each position.
Space group Pca2_1 (No. 29)
Symmetry-distinct sites (fractional):
Pd 0.0049 0.1695 0.0000 x4  3 F 1.89-2.03, 3 O 1.97-2.05
O 0.1817 0.0520 0.3171 x4  3 Pd 1.97-2.05
F 0.1558 0.7229 0.1569 x4  2 Pd 2.02-2.03
F 0.1616 0.3950 0.1207 x4  1 Pd 1.89

Results
V: 174 Å³/cell

=====

Version ii
Compound: PdOF2
Source: OQMD
Functional: PBE-GGA
Structure: relaxed

a b c (Å): 12.4596 14.4710 2.9969
angles (deg): 90.00 90.00 90.00
Closest atoms and distances in Å follow each position.
Space group Pbam (No. 55)
Symmetry-distinct sites (fractional):
Pd 0.0254 0.1630 0.0000 x4  4 F 1.90-2.03, 2 O 1.93
Pd 0.1641 0.5840 0.5000 x4  3 O 2.01-2.02, 2 F 2.04
Pd 0.1892 0.4013 0.0000 x4  3 O 1.99-2.04, 3 F 1.99-2.00
O 0.1040 0.4545 0.5000 x4  3 Pd 1.99-2.02
O 0.1048 0.1133 0.5000 x4  2 Pd 1.93
O 0.2476 0.0317 0.0000 x4  3 Pd 2.01-2.04
F 0.0562 0.7738 0.5000 x4  2 Pd 2.03
F 0.0578 0.6121 0.0000 x4  2 Pd 2.04
F 0.0741 0.9365 0.0000 x4  1 Pd 1.90
F 0.1018 0.2856 0.0000 x4  2 Pd 2.00-2.01
F 0.2228 0.8514 0.5000 x4  2 Pd 1.99
F 0.2255 0.6965 0.0000 x4  2 Pd 2.34, 1 O 2.41, 2 F 2.42-2.51

Results
V: 540 Å³/cell

=====

Most stable one: version i, least stable one: version ii.